This record from the Alexandria database describes a PBEsol-optimized structure of CoPt2Br. The functional is SCAN.

Unit cell a=3.913 b=3.913 c=4.872 alpha=113.68 beta=113.68 gamma=90.00
Fractional positions:
Co 0.000 0.000 0.000
Br 0.500 0.500 0.000
Pt 0.750 0.250 0.500
Pt 0.250 0.750 0.500

E_form (uncorrected)   15.5 kcal/mol of atoms
Space-group type   I4/mmm, No. 139
Mass density   14.31 g/cm³
Crystal system   tetragonal
Offset from the most stable computed form   0.00 eV/f.u.